Entry 1:
# ScAlRu2

ScAlRu2 after structural relaxation (PBEsol, the Alexandria database).

- E_tot: -8.088 eV per atom
- Energy of formation from the pure elements: -0.33 eV/atom

Cell lengths 8.4213, 2.9861, 4.9809 Å; angles 90.00, 105.49, 90.00 degrees
Last column: nearest neighbours and their distance in Å.
Space group C2/m (No. 12)
Unique sites:
1 Sc 0.0000 0.0000 0.0000 [2 per cell]  6 Ru 2.71-2.75, 4 Al 2.90, 2 Sc 2.99
2 Al 0.0000 0.5000 0.5000 [2 per cell]  6 Ru 2.51-2.69
3 Ru 0.2398 0.0000 0.7181 [4 per cell]  3 Al 2.51-2.69, 2 Ru 2.68, 3 Sc 2.71-2.75

=====

Entry 2:
# TaHgCl2

TaHgCl2 after structural relaxation (PBEsol, the Alexandria database).

- E_tot: -4.090 eV per atom
- Distance to the lowest polymorph of the same formula: 348 meV/atom

Cell lengths 5.9782, 9.2080, 3.0108 Å; angles 90.00, 114.89, 90.00 degrees
Last column: nearest neighbours and their distance in Å.
Space group C2/m (No. 12)
Unique sites:
1 Ta 0.0000 0.0000 0.0000 [2 per cell]  4 Cl 2.74, 2 Hg 2.99, 2 Ta 3.01
2 Hg 0.0000 0.5000 0.0000 [2 per cell]  4 Cl 2.74, 2 Ta 2.99, 2 Hg 3.01
3 Cl 0.2500 0.2500 0.0000 [4 per cell]  2 Hg 2.74, 2 Ta 2.74, 4 Cl 2.99-3.01

=====

| no. | N(E_F) (states/eV/f.u.) | calculated volume (Å³ per atom) |
| --- | --- | --- |
| 1 | 2.491 | 15.09 |
| 2 | 2.333 | 18.79 |